The following is a PBE calculation of a relaxed NdSm2Pd crystal, from Alexandria.

Properties
Magnetization   0.002 μB/f.u.
Electronic total energy   -5.20 eV/atom
ΔE_f   -137 kJ/mol of formula units

Lattice parameters (Å, degrees): 3.6580 3.6580 8.6755 90.00 90.00 90.00
With the nearest neighbours (Å) after each atom.
Space group P4/mmm (No. 123)
Symmetry-distinct sites (fractional):
Nd  0.0000  0.0000  0.0000  4 Nd 3.66, 8 Sm 3.70
Sm  0.5000  0.5000  0.3045  4 Pd 3.09, 1 Sm 3.39
Pd  0.0000  0.0000  0.5000  8 Sm 3.09

The following is a PBE calculation of a relaxed NdSmZnPd crystal, from Alexandria.

Properties
Magnetization   0.000 μB/f.u.
Electronic total energy   -4.50 eV/atom
ΔE_f   -199 kJ/mol of formula units

Lattice parameters (Å, degrees): 7.2733 7.2733 7.2733 90.00 90.00 90.00
With the nearest neighbours (Å) after each atom.
Space group F-43m (No. 216)
Symmetry-distinct sites (fractional):
Nd  0.0000  0.0000  0.0000  4 Pd 3.15, 4 Zn 3.15
Sm  0.0000  0.0000  0.5000  4 Pd 3.15, 4 Zn 3.15
Zn  0.2500  0.2500  0.7500  4 Nd 3.15, 4 Sm 3.15
Pd  0.2500  0.2500  0.2500  4 Nd 3.15, 4 Sm 3.15

The following is a PBE calculation of a relaxed NdSmZnPd crystal, from Alexandria.

Properties
Magnetization   0.000 μB/f.u.
Electronic total energy   -4.54 eV/atom
ΔE_f   -211 kJ/mol of formula units

Lattice parameters (Å, degrees): 4.5826 3.9225 11.0536 90.00 90.00 90.00
With the nearest neighbours (Å) after each atom.
Space group Amm2 (No. 38)
Symmetry-distinct sites (fractional):
Nd  0.0000  0.0000  0.0000  3 Pd 3.06-3.18, 4 Zn 3.11
Sm  0.5000  0.0000  0.7183  3 Zn 3.08-3.16, 4 Pd 3.11
Zn  0.5000  0.0000  0.4327  2 Pd 2.80, 2 Sm 3.08, 4 Nd 3.11
Pd  0.0000  0.0000  0.2877  2 Zn 2.80, 2 Nd 3.06, 4 Sm 3.11

The following is a PBE calculation of a relaxed Nd4Sn8Pd crystal, from Alexandria.

Properties
Magnetization   0.000 μB/f.u.
Electronic total energy   -4.99 eV/atom
ΔE_f   -832 kJ/mol of formula units

Lattice parameters (Å, degrees): 4.4766 4.5302 17.4488 90.00 90.00 90.00
With the nearest neighbours (Å) after each atom.
Space group Pmm2 (No. 25)
Symmetry-distinct sites (fractional):
Nd  0.0000  0.0000  0.0000  10 Sn 3.24-3.40
Nd  0.0000  0.5000  0.4859  10 Sn 3.27-3.61
Nd  0.5000  0.0000  0.7892  8 Sn 3.39-3.68, 4 Pd 3.49
Nd  0.5000  0.5000  0.2894  10 Sn 3.24-3.49
Sn  0.0000  0.0000  0.3246  2 Sn 3.02, 4 Nd 3.24
Sn  0.0000  0.0000  0.6243  2 Pd 2.69
Sn  0.0000  0.5000  0.1434  4 Sn 3.19, 4 Nd 3.38-3.39
Sn  0.0000  0.5000  0.8565  1 Pd 2.60
Sn  0.5000  0.0000  0.1470  4 Sn 3.19, 4 Nd 3.36-3.40
Sn  0.5000  0.0000  0.4412  2 Sn 3.02, 4 Nd 3.28
Sn  0.5000  0.5000  0.6228  2 Pd 2.68
Sn  0.5000  0.5000  0.9672  2 Sn 2.96, 4 Nd 3.24
Pd  0.0000  0.5000  0.7072  5 Sn 2.60-2.69

The following is a PBE calculation of a relaxed Nd2Sn4Pd5 crystal, from Alexandria.

Properties
Magnetization   0.000 μB/f.u.
Electronic total energy   -5.30 eV/atom
ΔE_f   -654 kJ/mol of formula units

Lattice parameters (Å, degrees): 5.8911 10.2716 16.3960 90.00 90.00 90.00
With the nearest neighbours (Å) after each atom.
Space group Fmmm (No. 69)
Symmetry-distinct sites (fractional):
Nd  0.0000  0.0000  0.1475  6 Sn 3.36-3.56, 4 Pd 3.40
Sn  0.0000  0.1547  0.3714  5 Pd 2.64-2.75
Pd  0.0000  0.0000  0.5000  4 Sn 2.64
Pd  0.2500  0.2500  0.0000  4 Sn 2.75, 4 Pd 2.95-2.96
Pd  0.2500  0.2500  0.2500  4 Sn 2.66, 2 Pd 2.95

The following is a PBE calculation of a relaxed NdSn4Pd4 crystal, from Alexandria.

Properties
Magnetization   0.000 μB/f.u.
Electronic total energy   -5.16 eV/atom
ΔE_f   -468 kJ/mol of formula units

Lattice parameters (Å, degrees): 6.5513 6.5513 9.0919 90.00 90.00 90.00
With the nearest neighbours (Å) after each atom.
Space group P4_2/nmc (No. 137, origin choice 2)
Symmetry-distinct sites (fractional):
Nd  0.2500  0.7500  0.2500  4 Sn 3.29, 8 Pd 3.67
Sn  0.0194  0.2500  0.0550  5 Pd 2.65-2.80
Pd  0.0359  0.2500  0.3464  5 Sn 2.65-2.80, 1 Pd 2.80

The following is a PBE calculation of a relaxed NdSn4Pd6 crystal, from Alexandria.

Properties
Magnetization   0.000 μB/f.u.
Electronic total energy   -5.36 eV/atom
ΔE_f   -682 kJ/mol of formula units

Lattice parameters (Å, degrees): 7.7049 7.7049 4.2247 90.00 90.00 120.00
With the nearest neighbours (Å) after each atom.
Space group P-6m2 (No. 187)
Symmetry-distinct sites (fractional):
Nd  0.0000  0.0000  0.0000  6 Sn 3.32, 6 Pd 3.43
Sn  0.3333  0.6667  0.0000  9 Pd 2.72-2.74
Sn  0.3845  0.1922  0.5000  6 Pd 2.64-2.78
Pd  0.2029  0.4058  0.5000  4 Sn 2.64-2.74
Pd  0.5373  0.0746  0.0000  5 Sn 2.72-2.78, 2 Pd 2.99

The following is a PBE calculation of a relaxed Nd6SnPd2 crystal, from Alexandria.

Properties
Magnetization   0.000 μB/f.u.
Electronic total energy   -5.29 eV/atom
ΔE_f   -449 kJ/mol of formula units

Lattice parameters (Å, degrees): 9.6273 10.2744 10.8035 90.00 90.00 90.00
With the nearest neighbours (Å) after each atom.
Space group Immm (No. 71)
Symmetry-distinct sites (fractional):
Nd  0.0000  0.1990  0.2348  1 Pd 2.99, 1 Sn 3.26
Nd  0.1992  0.5000  0.1746  3 Pd 2.87-3.09
Nd  0.2118  0.3160  0.5000  3 Pd 3.11-3.27, 1 Sn 3.36
Sn  0.0000  0.0000  0.0000  8 Nd 3.26-3.36, 2 Pd 3.63
Sn  0.0000  0.0000  0.5000  12 Nd 3.46-3.83
Pd  0.0000  0.3530  0.0000  8 Nd 2.99-3.27, 1 Pd 3.02
Pd  0.0000  0.5000  0.3717  1 Pd 2.77, 2 Nd 2.87

The following is a PBE calculation of a relaxed NdSn2Pd crystal, from Alexandria.

Properties
Magnetization   0.000 μB/f.u.
Electronic total energy   -5.21 eV/atom
ΔE_f   -276 kJ/mol of formula units

Lattice parameters (Å, degrees): 7.4508 4.6600 11.3976 90.00 90.00 90.00
With the nearest neighbours (Å) after each atom.
Space group Pnma (No. 62)
Symmetry-distinct sites (fractional):
Nd  0.2024  0.2500  0.1420  4 Pd 3.30-3.68, 9 Sn 3.30-3.63
Sn  0.1111  0.2500  0.8537  2 Pd 2.61-2.78
Sn  0.1680  0.2500  0.4380  3 Pd 2.68-2.74
Pd  0.0158  0.7500  0.3596  5 Sn 2.61-2.78

The following is a PBE calculation of a relaxed Nd3Sn2Pd4 crystal, from Alexandria.

Properties
Magnetization   0.000 μB/f.u.
Electronic total energy   -5.59 eV/atom
ΔE_f   -701 kJ/mol of formula units

Lattice parameters (Å, degrees): 10.2092 4.5967 9.0169 90.00 95.41 90.00
With the nearest neighbours (Å) after each atom.
Space group C2/m (No. 12)
Symmetry-distinct sites (fractional):
Nd  0.0000  0.0000  0.0000  6 Pd 3.04-3.26
Nd  0.1263  0.5000  0.3859  6 Pd 2.93-3.24
Sn  0.1750  0.5000  0.7819  5 Pd 2.75-2.80
Pd  0.0821  0.0000  0.6293  1 Pd 2.74, 2 Sn 2.80, 1 Nd 2.99
Pd  0.2196  0.5000  0.0880  3 Sn 2.75, 2 Pd 2.89, 2 Nd 2.93-3.04

The following is a PBE calculation of a relaxed Nd2SnPd6 crystal, from Alexandria.

Properties
Magnetization   0.000 μB/f.u.
Electronic total energy   -5.45 eV/atom
ΔE_f   -421 kJ/mol of formula units

Lattice parameters (Å, degrees): 11.9428 8.4039 4.1876 90.00 110.43 90.00
With the nearest neighbours (Å) after each atom.
Space group C2/m (No. 12)
Symmetry-distinct sites (fractional):
Nd  0.1664  0.0000  0.1637  8 Pd 2.87-3.08
Sn  0.0000  0.5000  0.5000  8 Pd 2.73-2.78
Pd  0.0000  0.2917  0.0000  2 Sn 2.73, 4 Pd 2.78
Pd  0.1604  0.2479  0.6594  1 Sn 2.78, 4 Pd 2.78-2.91, 3 Nd 2.87-2.96

The following is a PBE calculation of a relaxed NdSnPd crystal, from Alexandria.

Properties
Magnetization   0.000 μB/f.u.
Electronic total energy   -5.57 eV/atom
ΔE_f   -264 kJ/mol of formula units

Lattice parameters (Å, degrees): 7.6566 7.6566 4.1478 90.00 90.00 120.00
With the nearest neighbours (Å) after each atom.
Space group P-62m (No. 189)
Symmetry-distinct sites (fractional):
Nd  0.0000  0.5884  0.0000  5 Pd 3.11-3.15, 6 Sn 3.31-3.45
Sn  0.0000  0.2521  0.5000  4 Pd 2.83-2.91
Pd  0.0000  0.0000  0.0000  6 Sn 2.83, 3 Nd 3.15
Pd  0.3333  0.6667  0.5000  3 Sn 2.91, 6 Nd 3.11

The following is a PBE calculation of a relaxed NdSnPd crystal, from Alexandria.

Properties
Magnetization   0.000 μB/f.u.
Electronic total energy   -5.56 eV/atom
ΔE_f   -262 kJ/mol of formula units

Lattice parameters (Å, degrees): 4.7334 15.0258 8.0566 90.00 90.00 90.00
With the nearest neighbours (Å) after each atom.
Space group Pmmn (No. 59, origin choice 2)
Symmetry-distinct sites (fractional):
Nd  0.2500  0.0044  0.2120  6 Pd 3.11-3.40, 6 Sn 3.27-3.38
Nd  0.2500  0.2500  0.2956  6 Sn 3.26, 6 Pd 3.43-3.46
Nd  0.2500  0.7500  0.2912  6 Pd 3.30-3.35, 6 Sn 3.39-3.41
Sn  0.2500  0.1018  0.5903  4 Pd 2.74-2.97
Sn  0.2500  0.6496  0.9113  3 Pd 2.72-2.77, 1 Sn 3.02
Pd  0.2500  0.1408  0.9222  3 Sn 2.72-2.74
Pd  0.2500  0.5958  0.5822  4 Sn 2.75-2.97

The following is a PBE calculation of a relaxed NdSn2Pd crystal, from Alexandria.

Properties
Magnetization   0.000 μB/f.u.
Electronic total energy   -5.08 eV/atom
ΔE_f   -229 kJ/mol of formula units

Lattice parameters (Å, degrees): 4.5602 4.5602 4.5525 90.00 90.00 90.00
With the nearest neighbours (Å) after each atom.
Space group P4/mmm (No. 123)
Symmetry-distinct sites (fractional):
Nd  0.0000  0.0000  0.0000  8 Sn 3.22, 4 Pd 3.22
Sn  0.0000  0.5000  0.5000  4 Nd 3.22, 4 Pd 3.22, 4 Sn 3.22
Pd  0.5000  0.5000  0.0000  8 Sn 3.22, 4 Nd 3.22

The following is a PBE calculation of a relaxed NdSnPd2 crystal, from Alexandria.

Properties
Magnetization   0.000 μB/f.u.
Electronic total energy   -5.41 eV/atom
ΔE_f   -238 kJ/mol of formula units

Lattice parameters (Å, degrees): 3.6809 4.3713 5.8067 90.00 90.00 90.00
With the nearest neighbours (Å) after each atom.
Space group Pmmm (No. 47)
Symmetry-distinct sites (fractional):
Nd  0.0000  0.0000  0.0000  8 Pd 3.17, 4 Sn 3.44
Sn  0.5000  0.0000  0.5000  4 Pd 2.67
Pd  0.5000  0.5000  0.2364  2 Sn 2.67, 1 Pd 2.74

The following is a PBE calculation of a relaxed Nd2SnPd4 crystal, from Alexandria.

Properties
Magnetization   0.000 μB/f.u.
Electronic total energy   -5.19 eV/atom
ΔE_f   -192 kJ/mol of formula units

Lattice parameters (Å, degrees): 4.9420 4.9420 14.7824 90.00 90.00 90.00
With the nearest neighbours (Å) after each atom.
Space group I4/mmm (No. 139)
Symmetry-distinct sites (fractional):
Nd  0.0000  0.0000  0.1355  1 Pd 2.74
Sn  0.0000  0.0000  0.5000  6 Pd 2.47-2.65
Pd  0.0000  0.0000  0.3209  1 Sn 2.65, 1 Nd 2.74
Pd  0.0000  0.5000  0.0000  2 Sn 2.47

The following is a PBE calculation of a relaxed Nd2SnPd7 crystal, from Alexandria.

Properties
Magnetization   0.000 μB/f.u.
Electronic total energy   -5.02 eV/atom
ΔE_f   -33 kJ/mol of formula units

Lattice parameters (Å, degrees): 9.8391 9.8391 9.8391 90.00 90.00 90.00
With the nearest neighbours (Å) after each atom.
Space group Fm-3m (No. 225)
Symmetry-distinct sites (fractional):
Nd  0.2500  0.2500  0.2500  12 Pd 3.48
Sn  0.0000  0.0000  0.0000  6 Pd 2.45
Pd  0.0000  0.0000  0.2490  1 Sn 2.45, 1 Pd 2.47
Pd  0.0000  0.0000  0.5000  6 Pd 2.47

The following is a PBE calculation of a relaxed NdSn4Pd2 crystal, from Alexandria.

Properties
Magnetization   0.000 μB/f.u.
Electronic total energy   -5.03 eV/atom
ΔE_f   -392 kJ/mol of formula units

Lattice parameters (Å, degrees): 19.1101 4.5803 7.4160 90.00 90.00 90.00
With the nearest neighbours (Å) after each atom.
Space group Pnma (No. 62)
Symmetry-distinct sites (fractional):
Nd  0.1415  0.2500  0.0108  8 Sn 3.25-3.52, 4 Pd 3.49-3.61
Sn  0.0327  0.7500  0.8618  3 Pd 2.74-2.79
Sn  0.0660  0.2500  0.4868  4 Pd 2.82-2.99
Sn  0.1804  0.7500  0.3116  4 Pd 2.81-2.91, 1 Sn 3.14
Sn  0.1959  0.7500  0.7335  3 Pd 2.75-2.82
Pd  0.0360  0.7500  0.2384  7 Sn 2.74-2.99
Pd  0.2126  0.2500  0.5324  7 Sn 2.75-2.91

The following is a PBE calculation of a relaxed Nd8Sn2Pd crystal, from Alexandria.

Properties
Magnetization   0.000 μB/f.u.
Electronic total energy   -5.09 eV/atom
ΔE_f   -448 kJ/mol of formula units

Lattice parameters (Å, degrees): 19.7999 5.1178 7.0061 90.00 104.63 90.00
With the nearest neighbours (Å) after each atom.
Space group C2/m (No. 12)
Symmetry-distinct sites (fractional):
Nd  0.0166  0.0000  0.2796  2 Pd 3.05, 1 Sn 3.31, 1 Nd 3.32
Nd  0.0926  0.5000  0.9742  1 Pd 3.37, 2 Sn 3.43, 4 Nd 3.53-3.72
Nd  0.1492  0.5000  0.4978  1 Pd 2.96, 2 Sn 3.22
Nd  0.2151  0.0000  0.8198  3 Sn 3.28-3.40, 4 Nd 3.44-3.62
Sn  0.1816  0.0000  0.2552  9 Nd 3.22-3.43
Pd  0.0000  0.5000  0.5000  6 Nd 2.96-3.05

The following is a PBE calculation of a relaxed NdSn6Pd6 crystal, from Alexandria.

Properties
Magnetization   0.000 μB/f.u.
Electronic total energy   -5.20 eV/atom
ΔE_f   -741 kJ/mol of formula units

Lattice parameters (Å, degrees): 5.7972 8.9817 9.9755 90.00 90.00 90.00
With the nearest neighbours (Å) after each atom.
Space group Immm (No. 71)
Symmetry-distinct sites (fractional):
Nd  0.0000  0.0000  0.0000  8 Sn 3.07-3.35
Sn  0.0000  0.0000  0.3361  6 Pd 2.77-2.81
Sn  0.0000  0.3413  0.0000  1 Sn 2.85, 6 Pd 3.00-3.01, 1 Nd 3.07
Sn  0.0000  0.5000  0.3312  6 Pd 2.79-2.81
Pd  0.0000  0.2496  0.5000  6 Sn 2.77-3.01, 4 Pd 2.88
Pd  0.2500  0.2500  0.2500  6 Sn 2.79-3.00, 4 Pd 2.88-2.90